[1]
# SiHgRh | the Alexandria database | PBE-GGA | optimized geometry
# Final energy in eV/atom: -4.434
# Spin magnetization in μB/cell: 0.0
# Crystal system: hexagonal
data_SiHgRh
_cell_length_a 4.0912
_cell_length_b 4.0912
_cell_length_c 3.5726
_cell_angle_alpha 90.00
_cell_angle_beta 90.00
_cell_angle_gamma 120.00
_space_group_name_H-M_alt 'P -6 m 2'
_space_group_IT_number 187
_space_group_name_Hall 'P -6 2'
loop_
_atom_site_label
_atom_site_fract_x
_atom_site_fract_y
_atom_site_fract_z
Si1 0.0000 0.0000 0.0000
Hg1 0.6667 0.3333 0.5000
Rh1 0.3333 0.6667 0.0000


[2]
# ZrTi2Zn2 | the Alexandria database | PBE-GGA | optimized geometry
# Final energy in eV/atom: -5.213
# Spin magnetization in μB/cell: 2.3
# Crystal system: tetragonal
data_ZrTi2Zn2
_cell_length_a 3.971
_cell_length_b 3.971
_cell_length_c 11.631
_cell_angle_alpha 90.00
_cell_angle_beta 90.00
_cell_angle_gamma 90.00
_space_group_name_H-M_alt 'I 4/m m m'
_space_group_IT_number 139
_space_group_name_Hall '-I 4 2'
loop_
_atom_site_label
_atom_site_fract_x
_atom_site_fract_y
_atom_site_fract_z
Zr1 0.000 0.000 0.000
Ti1 0.000 0.000 0.396
Zn1 0.000 0.500 0.250


[3]
# Sm2MgTc | the Alexandria database | PBE-GGA | optimized geometry
# Final energy in eV/atom: -5.016
# Spin magnetization in μB/cell: 0.0
# Crystal system: trigonal
data_Sm2MgTc
_cell_length_a 3.4366
_cell_length_b 3.4366
_cell_length_c 32.8224
_cell_angle_alpha 90.00
_cell_angle_beta 90.00
_cell_angle_gamma 120.00
_space_group_name_H-M_alt 'R -3 m'
_space_group_IT_number 166
_space_group_name_Hall '-R 3 2"'
loop_
_atom_site_label
_atom_site_fract_x
_atom_site_fract_y
_atom_site_fract_z
Sm1 0.0000 0.0000 0.1041
Mg1 0.0000 0.0000 0.0000
Tc1 0.0000 0.0000 0.5000


Question: The highest final energy belongs to which entry?
Answer: SiHgRh


Question: Look up the final energy of the first one.
Answer: -4.434 eV/atom


Repeat the third record exactly.
# Sm2MgTc | the Alexandria database | PBE-GGA | optimized geometry
# Final energy in eV/atom: -5.016
# Spin magnetization in μB/cell: 0.0
# Crystal system: trigonal
data_Sm2MgTc
_cell_length_a 3.4366
_cell_length_b 3.4366
_cell_length_c 32.8224
_cell_angle_alpha 90.00
_cell_angle_beta 90.00
_cell_angle_gamma 120.00
_space_group_name_H-M_alt 'R -3 m'
_space_group_IT_number 166
_space_group_name_Hall '-R 3 2"'
loop_
_atom_site_label
_atom_site_fract_x
_atom_site_fract_y
_atom_site_fract_z
Sm1 0.0000 0.0000 0.1041
Mg1 0.0000 0.0000 0.0000
Tc1 0.0000 0.0000 0.5000